[1]
CsZn2CdRh: optimized geometry, PBE.

Properties
Formation energy from the elements: -0.08 eV per atom
E: -2.410 eV per atom
Symmetry: P4/mmm (123)
V: 27.14 Å³/atom
Density: 5.9 g/cm³

```
data_CsZn2CdRh
_cell_length_a 5.033
_cell_length_b 5.033
_cell_length_c 5.358
_cell_angle_alpha 90.00
_cell_angle_beta 90.00
_cell_angle_gamma 90.00
_symmetry_space_group_name_H-M 'P 1'
_symmetry_Int_Tables_number 1
loop_
_symmetry_equiv_pos_as_xyz
'x,y,z'
loop_
_atom_site_label
_atom_site_type_symbol
_atom_site_fract_x
_atom_site_fract_y
_atom_site_fract_z
_atom_site_occupancy
Cs1 Cs 0.000 0.000 0.000 1
Zn1 Zn 0.000 0.500 0.500 1
Zn2 Zn 0.500 0.000 0.500 1
Cd1 Cd 0.500 0.500 0.000 1
Rh1 Rh 0.500 0.500 0.500 1
```


[2]
CsZnCd2Rh: optimized geometry, PBE.

Properties
Formation energy from the elements: -0.08 eV per atom
E: -2.343 eV per atom
Symmetry: P4/mmm (123)
V: 28.95 Å³/atom
Density: 6.0 g/cm³

```
data_CsZnCd2Rh
_cell_length_a 5.376
_cell_length_b 5.376
_cell_length_c 5.009
_cell_angle_alpha 90.00
_cell_angle_beta 90.00
_cell_angle_gamma 90.00
_symmetry_space_group_name_H-M 'P 1'
_symmetry_Int_Tables_number 1
loop_
_symmetry_equiv_pos_as_xyz
'x,y,z'
loop_
_atom_site_label
_atom_site_type_symbol
_atom_site_fract_x
_atom_site_fract_y
_atom_site_fract_z
_atom_site_occupancy
Cs1 Cs 0.000 0.000 0.000 1
Zn1 Zn 0.500 0.500 0.000 1
Cd1 Cd 0.000 0.500 0.500 1
Cd2 Cd 0.500 0.000 0.500 1
Rh1 Rh 0.500 0.500 0.500 1
```


[3]
CsZrCdRh2: optimized geometry, PBE.

Properties
Formation energy from the elements: 0.86 eV per atom
E: -4.148 eV per atom
Symmetry: P4/mmm (123)
V: 32.26 Å³/atom
Density: 5.6 g/cm³

```
data_CsZrCdRh2
_cell_length_a 4.910
_cell_length_b 4.910
_cell_length_c 6.689
_cell_angle_alpha 90.00
_cell_angle_beta 90.00
_cell_angle_gamma 90.00
_symmetry_space_group_name_H-M 'P 1'
_symmetry_Int_Tables_number 1
loop_
_symmetry_equiv_pos_as_xyz
'x,y,z'
loop_
_atom_site_label
_atom_site_type_symbol
_atom_site_fract_x
_atom_site_fract_y
_atom_site_fract_z
_atom_site_occupancy
Cs1 Cs 0.000 0.000 0.000 1
Zr1 Zr 0.000 0.000 0.500 1
Cd1 Cd 0.500 0.500 0.000 1
Rh1 Rh 0.000 0.500 0.500 1
Rh2 Rh 0.500 0.000 0.500 1
```


[4]
CsCdRu3: optimized geometry, PBE.

Properties
Formation energy from the elements: 2.64 eV per atom
E: -3.283 eV per atom
Symmetry: Pm-3m (221)
V: 23.75 Å³/atom
Density: 7.7 g/cm³

```
data_CsCdRu3
_cell_length_a 4.915
_cell_length_b 4.915
_cell_length_c 4.915
_cell_angle_alpha 90.00
_cell_angle_beta 90.00
_cell_angle_gamma 90.00
_symmetry_space_group_name_H-M 'P 1'
_symmetry_Int_Tables_number 1
loop_
_symmetry_equiv_pos_as_xyz
'x,y,z'
loop_
_atom_site_label
_atom_site_type_symbol
_atom_site_fract_x
_atom_site_fract_y
_atom_site_fract_z
_atom_site_occupancy
Cs1 Cs 0.000 0.000 0.000 1
Cd1 Cd 0.500 0.500 0.500 1
Ru1 Ru 0.000 0.000 0.500 1
Ru2 Ru 0.000 0.500 0.000 1
Ru3 Ru 0.500 0.000 0.000 1
```


[5]
CsCdRu3: optimized geometry, PBE.

Properties
Formation energy from the elements: 2.08 eV per atom
E: -3.841 eV per atom
Symmetry: Pm-3m (221)
V: 27.33 Å³/atom
Density: 6.7 g/cm³

```
data_CsCdRu3
_cell_length_a 5.151
_cell_length_b 5.151
_cell_length_c 5.151
_cell_angle_alpha 90.00
_cell_angle_beta 90.00
_cell_angle_gamma 90.00
_symmetry_space_group_name_H-M 'P 1'
_symmetry_Int_Tables_number 1
loop_
_symmetry_equiv_pos_as_xyz
'x,y,z'
loop_
_atom_site_label
_atom_site_type_symbol
_atom_site_fract_x
_atom_site_fract_y
_atom_site_fract_z
_atom_site_occupancy
Cs1 Cs 0.000 0.000 0.000 1
Cd1 Cd 0.500 0.500 0.500 1
Ru1 Ru 0.000 0.500 0.500 1
Ru2 Ru 0.500 0.000 0.500 1
Ru3 Ru 0.500 0.500 0.000 1
```


[6]
CsCd2Ru: optimized geometry, PBE.

Properties
Formation energy from the elements: 0.65 eV per atom
E: -2.340 eV per atom
Symmetry: I-42d (122)
V: 39.59 Å³/atom
Density: 4.8 g/cm³

```
data_CsCd2Ru
_cell_length_a 9.761
_cell_length_b 9.761
_cell_length_c 9.761
_cell_angle_alpha 144.18
_cell_angle_beta 144.18
_cell_angle_gamma 51.55
_symmetry_space_group_name_H-M 'P 1'
_symmetry_Int_Tables_number 1
loop_
_symmetry_equiv_pos_as_xyz
'x,y,z'
loop_
_atom_site_label
_atom_site_type_symbol
_atom_site_fract_x
_atom_site_fract_y
_atom_site_fract_z
_atom_site_occupancy
Cs1 Cs 0.000 0.000 0.000 1
Cs2 Cs 0.750 0.250 0.500 1
Cd1 Cd 0.374 0.125 0.749 1
Cd2 Cd 0.375 0.626 0.751 1
Cd3 Cd 0.376 0.625 0.251 1
Cd4 Cd 0.875 0.624 0.249 1
Ru1 Ru 0.250 0.750 0.500 1
Ru2 Ru 0.500 0.500 0.000 1
```


[7]
CsCd2SbRu: optimized geometry, PBE.

Properties
E: -3.253 eV per atom
Symmetry: P4/mmm (123)
Formation energy without anion corrections: -4 kJ/mol of atoms
V: 30.04 Å³/atom
Density: 6.4 g/cm³

```
data_CsCd2SbRu
_cell_length_a 5.464
_cell_length_b 5.464
_cell_length_c 5.032
_cell_angle_alpha 90.00
_cell_angle_beta 90.00
_cell_angle_gamma 90.00
_symmetry_space_group_name_H-M 'P 1'
_symmetry_Int_Tables_number 1
loop_
_symmetry_equiv_pos_as_xyz
'x,y,z'
loop_
_atom_site_label
_atom_site_type_symbol
_atom_site_fract_x
_atom_site_fract_y
_atom_site_fract_z
_atom_site_occupancy
Cs1 Cs 0.000 0.000 0.000 1
Cd1 Cd 0.000 0.500 0.500 1
Cd2 Cd 0.500 0.000 0.500 1
Sb1 Sb 0.500 0.500 0.000 1
Ru1 Ru 0.500 0.500 0.500 1
```


[8]
CsCdSn2Ru: optimized geometry, PBE.

Properties
Formation energy from the elements: -0.04 eV per atom
E: -3.845 eV per atom
Symmetry: P4/mmm (123)
V: 29.54 Å³/atom
Density: 6.6 g/cm³

```
data_CsCdSn2Ru
_cell_length_a 5.191
_cell_length_b 5.191
_cell_length_c 5.483
_cell_angle_alpha 90.00
_cell_angle_beta 90.00
_cell_angle_gamma 90.00
_symmetry_space_group_name_H-M 'P 1'
_symmetry_Int_Tables_number 1
loop_
_symmetry_equiv_pos_as_xyz
'x,y,z'
loop_
_atom_site_label
_atom_site_type_symbol
_atom_site_fract_x
_atom_site_fract_y
_atom_site_fract_z
_atom_site_occupancy
Cs1 Cs 0.000 0.000 0.000 1
Cd1 Cd 0.500 0.500 0.000 1
Sn1 Sn 0.000 0.500 0.500 1
Sn2 Sn 0.500 0.000 0.500 1
Ru1 Ru 0.500 0.500 0.500 1
```


[9]
CsTl2CdRu: optimized geometry, PBE.

Properties
Formation energy from the elements: 0.06 eV per atom
E: -3.093 eV per atom
Symmetry: P4/mmm (123)
V: 31.66 Å³/atom
Density: 7.9 g/cm³

```
data_CsTl2CdRu
_cell_length_a 5.383
_cell_length_b 5.383
_cell_length_c 5.464
_cell_angle_alpha 90.00
_cell_angle_beta 90.00
_cell_angle_gamma 90.00
_symmetry_space_group_name_H-M 'P 1'
_symmetry_Int_Tables_number 1
loop_
_symmetry_equiv_pos_as_xyz
'x,y,z'
loop_
_atom_site_label
_atom_site_type_symbol
_atom_site_fract_x
_atom_site_fract_y
_atom_site_fract_z
_atom_site_occupancy
Cs1 Cs 0.000 0.000 0.000 1
Tl1 Tl 0.000 0.500 0.500 1
Tl2 Tl 0.500 0.000 0.500 1
Cd1 Cd 0.500 0.500 0.000 1
Ru1 Ru 0.500 0.500 0.500 1
```


[10]
CsCdS2: optimized geometry, PBE.

Properties
E: -2.812 eV per atom
Symmetry: R-3m (166)
Formation energy without anion corrections: -30 kJ/mol of atoms
V: 45.05 Å³/atom
Density: 2.9 g/cm³

```
data_CsCdS2
_cell_length_a 9.137
_cell_length_b 9.137
_cell_length_c 9.137
_cell_angle_alpha 31.06
_cell_angle_beta 31.06
_cell_angle_gamma 31.06
_symmetry_space_group_name_H-M 'P 1'
_symmetry_Int_Tables_number 1
loop_
_symmetry_equiv_pos_as_xyz
'x,y,z'
loop_
_atom_site_label
_atom_site_type_symbol
_atom_site_fract_x
_atom_site_fract_y
_atom_site_fract_z
_atom_site_occupancy
Cs1 Cs 0.000 0.000 0.000 1
Cd1 Cd 0.500 0.500 0.500 1
S1 S 0.411 0.411 0.411 1
S2 S 0.589 0.589 0.589 1
```


[11]
CsCdS2: optimized geometry, PBE.

Properties
E: -3.068 eV per atom
Symmetry: P2_1 (4)
Formation energy without anion corrections: -54 kJ/mol of atoms
V: 31.88 Å³/atom
Density: 4.0 g/cm³

```
data_CsCdS2
_cell_length_a 4.312
_cell_length_b 5.592
_cell_length_c 10.577
_cell_angle_alpha 90.00
_cell_angle_beta 90.29
_cell_angle_gamma 90.00
_symmetry_space_group_name_H-M 'P 1'
_symmetry_Int_Tables_number 1
loop_
_symmetry_equiv_pos_as_xyz
'x,y,z'
loop_
_atom_site_label
_atom_site_type_symbol
_atom_site_fract_x
_atom_site_fract_y
_atom_site_fract_z
_atom_site_occupancy
Cs1 Cs 0.246 0.000 0.172 1
Cs2 Cs 0.754 0.500 0.828 1
Cd1 Cd 0.251 0.001 0.596 1
Cd2 Cd 0.749 0.501 0.404 1
S1 S 0.250 0.500 0.541 1
S2 S 0.254 0.000 0.830 1
S3 S 0.746 0.500 0.170 1
S4 S 0.750 0.000 0.459 1
```


[12]
CsCd3S: optimized geometry, PBE.

Properties
E: -0.798 eV per atom
Symmetry: Pm-3m (221)
Formation energy without anion corrections: 72 kJ/mol of atoms
V: 76.11 Å³/atom
Density: 2.2 g/cm³

```
data_CsCd3S
_cell_length_a 7.247
_cell_length_b 7.247
_cell_length_c 7.247
_cell_angle_alpha 90.00
_cell_angle_beta 90.00
_cell_angle_gamma 90.00
_symmetry_space_group_name_H-M 'P 1'
_symmetry_Int_Tables_number 1
loop_
_symmetry_equiv_pos_as_xyz
'x,y,z'
loop_
_atom_site_label
_atom_site_type_symbol
_atom_site_fract_x
_atom_site_fract_y
_atom_site_fract_z
_atom_site_occupancy
Cs1 Cs 0.000 0.000 0.000 1
Cd1 Cd 0.000 0.000 0.500 1
Cd2 Cd 0.000 0.500 0.000 1
Cd3 Cd 0.500 0.000 0.000 1
S1 S 0.500 0.500 0.500 1
```


[13]
CsCdS2: optimized geometry, PBE.

Properties
E: -2.728 eV per atom
Symmetry: R-3m (166)
Formation energy without anion corrections: -21 kJ/mol of atoms
V: 33.17 Å³/atom
Density: 3.9 g/cm³

```
data_CsCdS2
_cell_length_a 9.220
_cell_length_b 9.220
_cell_length_c 9.220
_cell_angle_alpha 26.00
_cell_angle_beta 26.00
_cell_angle_gamma 26.00
_symmetry_space_group_name_H-M 'P 1'
_symmetry_Int_Tables_number 1
loop_
_symmetry_equiv_pos_as_xyz
'x,y,z'
loop_
_atom_site_label
_atom_site_type_symbol
_atom_site_fract_x
_atom_site_fract_y
_atom_site_fract_z
_atom_site_occupancy
Cs1 Cs 0.000 0.000 0.000 1
Cd1 Cd 0.500 0.500 0.500 1
S1 S 0.117 0.117 0.117 1
S2 S 0.883 0.883 0.883 1
```


[14]
Cs2CdS: optimized geometry, PBE.

Properties
E: -2.143 eV per atom
Symmetry: I-42d (122)
Formation energy without anion corrections: -44 kJ/mol of atoms
V: 49.56 Å³/atom
Density: 3.4 g/cm³

```
data_Cs2CdS
_cell_length_a 8.133
_cell_length_b 8.133
_cell_length_c 8.133
_cell_angle_alpha 103.16
_cell_angle_beta 103.16
_cell_angle_gamma 122.99
_symmetry_space_group_name_H-M 'P 1'
_symmetry_Int_Tables_number 1
loop_
_symmetry_equiv_pos_as_xyz
'x,y,z'
loop_
_atom_site_label
_atom_site_type_symbol
_atom_site_fract_x
_atom_site_fract_y
_atom_site_fract_z
_atom_site_occupancy
Cs1 Cs 0.057 0.125 0.432 1
Cs2 Cs 0.375 0.943 0.068 1
Cs3 Cs 0.693 0.625 0.568 1
Cs4 Cs 0.875 0.307 0.932 1
Cd1 Cd 0.250 0.750 0.500 1
Cd2 Cd 0.500 0.500 0.000 1
S1 S 0.000 0.000 0.000 1
S2 S 0.750 0.250 0.500 1
```